PmPbF4 after structural relaxation. Source: Alexandria via LeMat-Bulk, functional PBE.

The structure in extended XYZ format:
```
12
Lattice="-3.111 5.273 3.257 -5.198 -4.380 -1.371 4.976 -2.920 3.847" Properties=species:S:1:pos:R:3 pbc="T T T"
Pm -6.246 0.671 1.418
Pm 0.918 1.178 3.555
Pb -2.100 0.225 0.477
Pb -0.133 -3.648 1.243
F -2.650 -4.738 2.265
F -0.752 -0.153 4.434
F -4.229 0.928 2.358
F -4.375 -3.942 -0.006
F 0.054 -2.866 3.566
F -3.279 -2.560 4.168
F -5.859 -1.523 2.042
F -2.568 -2.026 1.345
```

SG	I4_1md
raw formation energy	-3.032	eV per atom
electronic total energy	-68.27	eV per cell

Li2ScFe after structural relaxation. Source: Alexandria via LeMat-Bulk, functional PBE.

The structure in extended XYZ format:
```
4
Lattice="4.732 0.023 0.000 1.013 4.622 0.000 -2.873 -2.322 2.958" Properties=species:S:1:pos:R:3 pbc="T T T"
Fe 2.366 0.011 1.479
Li 0.000 0.000 0.000
Li 0.507 2.311 1.479
Sc 2.873 2.322 0.000
```

SG	I-4m2
electronic total energy	-17.37	eV per cell
distance to the lowest polymorph of the same formula	137.9	meV per atom
energy relative to the elements	1.25	eV/f.u.

Dy4MgGa after structural relaxation. Source: Alexandria via LeMat-Bulk, functional PBE.

The structure in extended XYZ format:
```
6
Lattice="4.929 0.000 -0.002 0.000 4.930 -0.003 0.003 0.005 7.652" Properties=species:S:1:pos:R:3 pbc="T T T"
Dy 2.472 4.918 2.060
Dy 2.473 4.920 5.557
Dy 0.008 2.454 5.559
Dy 0.007 2.452 2.063
Mg 2.472 2.458 7.633
Ga 0.008 4.918 3.808
```

SG	P4/mmm
electronic total energy	-22.48	eV per cell
energy relative to the elements	0.55	eV/f.u.

LiDyCuHg after structural relaxation. Source: Alexandria via LeMat-Bulk, functional PBE.

The structure in extended XYZ format:
```
4
Lattice="4.717 0.000 0.000 2.359 4.085 0.000 2.359 1.362 3.852" Properties=species:S:1:pos:R:3 pbc="T T T"
Li 7.076 4.085 2.889
Hg 4.717 2.723 1.926
Cu 2.359 1.362 0.963
Dy 0.000 0.000 0.000
```

SG	F-43m
electronic total energy	-11.82	eV per cell
energy relative to the elements	-0.91	eV/f.u.

Pm2ThSc after structural relaxation. Source: Alexandria via LeMat-Bulk, functional PBE.

The structure in extended XYZ format:
```
4
Lattice="-1.432 -2.855 -1.581 2.047 -2.804 -0.808 -1.994 -6.434 9.413" Properties=species:S:1:pos:R:3 pbc="T T T"
Pm -1.432 -5.271 6.802
Pm -0.359 -3.053 1.823
Th 0.410 -3.773 -1.592
Sc -0.688 -6.043 3.504
```

SG	R3m
electronic total energy	-23.00	eV per cell
distance to the lowest polymorph of the same formula	1.0	meV per atom
energy relative to the elements	0.25	eV/f.u.

CeNi4SnP2 after structural relaxation. Source: Alexandria via LeMat-Bulk, functional PBE.

The structure in extended XYZ format:
```
8
Lattice="3.915 0.000 0.000 0.000 3.915 0.000 0.000 0.000 8.049" Properties=species:S:1:pos:R:3 pbc="T T T"
Ce 0.000 0.000 4.025
Ni 0.000 1.958 1.742
Ni 1.958 0.000 6.308
Ni 1.958 0.000 1.742
Ni 0.000 1.958 6.308
Sn 0.000 0.000 0.000
P 1.958 1.958 2.832
P 1.958 1.958 5.218
```

SG	P4/mmm
electronic total energy	-48.82	eV per cell
energy relative to the elements	-4.94	eV/f.u.

Al2Ag after structural relaxation. Source: Alexandria via LeMat-Bulk, functional PBE.

The structure in extended XYZ format:
```
6
Lattice="-4.020 -0.300 0.109 0.247 -4.874 -4.326 0.222 -1.605 3.747" Properties=species:S:1:pos:R:3 pbc="T T T"
Ag 0.002 -0.029 -0.013
Ag 0.236 -3.755 -1.622
Al -1.891 -2.042 -0.763
Al -1.653 -5.820 -2.395
Al 0.230 -2.694 1.056
Al -1.661 -4.744 0.290
```

SG	Cmmm
electronic total energy	-20.48	eV per cell
energy relative to the elements	0.10	eV/f.u.

MnCr2Pd8 after structural relaxation. Source: Alexandria via LeMat-Bulk, functional PBE.

The structure in extended XYZ format:
```
11
Lattice="-3.495 -2.110 -0.738 3.534 -6.002 0.427 -1.100 3.830 5.917" Properties=species:S:1:pos:R:3 pbc="T T T"
Mn -1.747 -1.055 -0.369
Cr 1.344 -3.090 2.472
Cr -2.404 -1.193 3.134
Pd 0.447 -5.428 1.744
Pd 0.024 -1.456 4.047
Pd -0.317 -0.066 1.693
Pd 1.086 -1.844 0.131
Pd -0.743 -4.216 3.913
Pd -1.085 -2.827 1.559
Pd -1.507 1.145 3.862
Pd -2.146 -2.439 5.475
```

SG	Immm
electronic total energy	-70.22	eV per cell
energy relative to the elements	-0.26	eV/f.u.

SrY2W after structural relaxation. Source: Alexandria via LeMat-Bulk, functional PBE.

The structure in extended XYZ format:
```
4
Lattice="5.410 0.000 0.000 2.705 4.686 0.000 2.705 1.562 4.418" Properties=species:S:1:pos:R:3 pbc="T T T"
Sr 5.410 3.124 2.209
W 8.116 4.686 3.313
Y 0.000 0.000 0.000
Y 2.705 1.562 1.104
```

SG	F-43m
electronic total energy	-23.96	eV per cell
distance to the lowest polymorph of the same formula	465.6	meV per atom
energy relative to the elements	3.60	eV/f.u.

DySnIr after structural relaxation. Source: Alexandria via LeMat-Bulk, functional PBE.

The structure in extended XYZ format:
```
6
Lattice="3.636 0.000 0.000 -1.818 5.943 0.000 0.000 0.000 6.107" Properties=species:S:1:pos:R:3 pbc="T T T"
Sn 1.818 1.440 4.581
Sn 0.000 4.503 1.527
Ir 0.000 0.000 3.054
Ir 0.000 0.000 0.000
Dy 1.818 1.853 1.527
Dy 0.000 4.090 4.581
```

SG	Cmcm
electronic total energy	-39.17	eV per cell
energy relative to the elements	-2.12	eV/f.u.

Sm8PtRh5 after structural relaxation. Source: Alexandria via LeMat-Bulk, functional PBE.

The structure in extended XYZ format:
```
14
Lattice="7.181 0.000 -2.514 -3.562 6.222 -2.547 -0.058 0.000 7.609" Properties=species:S:1:pos:R:3 pbc="T T T"
Sm -1.867 4.675 5.372
Sm -0.464 0.767 5.415
Sm 4.433 1.558 0.349
Sm 3.119 2.295 4.147
Sm 1.370 3.928 -0.936
Sm 1.355 5.456 2.872
Sm 0.861 1.548 1.558
Sm -1.799 4.664 1.535
Pt -0.029 3.111 3.804
Rh -1.340 2.332 -0.022
Rh 3.160 5.461 -2.523
Rh 3.108 3.890 1.286
Rh 3.562 0.000 2.547
Rh 2.196 0.761 6.353
```

SG	I-4
electronic total energy	-90.96	eV per cell
energy relative to the elements	-10.40	eV/f.u.

Pm3Sn6Pd5 after structural relaxation. Source: Alexandria via LeMat-Bulk, functional PBE.

The structure in extended XYZ format:
```
28
Lattice="4.523 0.000 0.000 0.000 10.026 0.000 0.000 0.000 13.690" Properties=species:S:1:pos:R:3 pbc="T T T"
Pm 0.000 2.513 9.636
Pm 2.262 7.514 2.791
Pm 2.262 7.514 10.899
Pm 0.000 2.528 0.000
Pm 2.262 7.498 6.845
Pm 0.000 2.513 4.054
Sn 0.000 9.757 11.537
Sn 2.262 0.270 8.997
Sn 2.262 3.975 11.323
Sn 2.262 5.904 0.000
Sn 0.000 4.122 6.845
Sn 0.000 6.052 9.211
Sn 0.000 6.052 4.479
Sn 2.262 9.532 0.000
Sn 0.000 9.757 2.153
Sn 2.262 3.975 2.366
Sn 0.000 0.494 6.845
Sn 2.262 0.270 4.692
Pd 0.000 5.330 12.021
Pd 0.000 8.729 8.889
Pd 0.000 7.817 0.000
Pd 2.262 4.696 8.514
Pd 2.262 2.209 6.845
Pd 0.000 5.330 1.669
Pd 2.262 4.696 5.176
Pd 0.000 8.729 4.801
Pd 2.262 1.298 11.646
Pd 2.262 1.298 2.044
```

SG	Pmmn
electronic total energy	-148.98	eV per cell
energy relative to the elements	-10.26	eV/f.u.

> Look up the electronic total energy of the ninth one.

-23.96 eV per cell

> What is the electronic total energy in the first record?

-68.27 eV per cell